VASP calculation (PBE) on an optimized crystal structure of Mg2TiCd.

Computed properties:
symmetry = R-3m (166)
calculated volume = 21.190 Å³/atom
E = -2.71 eV per atom
ΔH_f (0 K) = 291 meV/atom
DOS at the Fermi energy = 2.91 states/eV per cell

The structure in POSCAR format:
```
Mg2TiCd
1.0
1.500 0.866 10.872
-1.500 0.866 10.872
0.000 -1.732 10.872
Mg Ti Cd
2 1 1
Cartesian
0.000 0.000 2.874 Mg
0.000 0.000 29.743 Mg
0.000 0.000 0.000 Ti
0.000 0.000 16.308 Cd
```